Density functional theory data (PBE+U) for an optimized crystal structure of HgMoF3.

a = 5.7771 Å, b = 5.7771 Å, c = 9.3001 Å
α = 71.90°, β = 71.90°, γ = 60.00°
Closest atoms and distances in Å follow each position.
Sites, in units of the cell vectors:
F (0.0961, 0.4594, 0.6205)  2 Mo 2.12
F (0.1760, 0.9039, 0.3795)  2 Mo 2.12
F (0.4594, 0.8240, 0.6205)  2 Mo 2.12
Hg (0.6552, 0.6552, 0.0343)  3 Hg 3.39, 3 F 3.66
Hg (0.3448, 0.3448, 0.9657)  3 Hg 3.39, 3 F 3.66
Mo (0.8332, 0.8332, 0.5003)  6 F 2.12
F (0.8240, 0.0961, 0.6205)  2 Mo 2.12
F (0.5406, 0.1760, 0.3795)  2 Mo 2.12
Mo (0.1668, 0.1668, 0.4997)  6 F 2.12
F (0.9039, 0.5406, 0.3795)  2 Mo 2.12

Its total energy is -45.66 eV for the cell shown.